(1)
{
  "formula": "CsScTa",
  "functional": "PBE",
  "state": "optimized geometry",
  "de_polymorph_ev_per_atom": 0.394,
  "lattice_angstrom": [[0.0000, 3.4570, 3.4570], [3.4570, 0.0000, 3.4570], [3.4570, 3.4570, 0.0000]],
  "species": ["Cs", "Sc", "Ta"],
  "fractional_positions": [[0.0000, 0.0000, 0.0000], [0.2500, 0.2500, 0.2500], [0.7500, 0.7500, 0.7500]]
}



(2)
{
  "formula": "TmMgCdP2",
  "functional": "PBE",
  "state": "optimized geometry",
  "final_energy_ev_per_atom": -4.2143,
  "lattice_angstrom": [[-2.4629, -0.4630, -3.4064], [-1.1829, -1.6588, 3.7058], [-3.1937, 5.7039, 1.5338]],
  "species": ["P", "Cd", "Tm", "Mg", "P"],
  "fractional_positions": [[0.6667, 0.3333, 0.7634], [0.0000, 0.0000, 0.6413], [0.3333, 0.6667, 0.0036], [0.6667, 0.3333, 0.3603], [0.0000, 0.0000, 0.2315]]
}